DFT (PBE+U) results for crystalline LiMn2O3F at its relaxed geometry.

Results
VASP energy: -6.699 eV/atom
ΔE to the lowest computed polymorph: 51 meV per atom
N(E_F): 0.62 states/eV/cell

Lattice parameters (Å, degrees): 6.0311 6.0311 6.0252 118.39 118.39 58.36
Closest atoms and distances in Å follow each position.
Sites, in units of the cell vectors:
Li  0.0000  0.0000  0.0000  2 F 1.98, 2 O 1.98-2.09
Li  0.6506  0.6506  0.4277  4 O 2.07-2.17, 2 F 2.13
Mn  0.1480  0.6584  0.4217  4 O 1.90-2.06
Mn  0.2829  0.2829  0.8210  4 O 2.01-2.08
Mn  0.6460  0.6460  0.9017  4 O 1.88-2.00, 2 F 2.05
Mn  0.6584  0.1480  0.4217  4 O 1.90-2.06
O  0.4059  0.4059  0.2201  3 Mn 1.94-2.02, 1 Li 2.17
O  0.4156  0.8732  0.6829  2 Mn 1.88-2.01, 1 Li 2.07
O  0.4194  0.4194  0.6703  4 Mn 2.00-2.08
O  0.8656  0.8656  0.1566  3 Mn 1.96-2.02, 1 Li 2.09
O  0.8732  0.4156  0.6829  2 Mn 1.88-2.01, 1 Li 2.07
O  0.8837  0.8837  0.6077  2 Mn 1.90, 2 Li 1.98-2.07
F  0.4037  0.8693  0.1449  2 Li 1.98-2.13, 1 Mn 2.05
F  0.8693  0.4037  0.1449  2 Li 1.98-2.13, 1 Mn 2.05